1.
DFT (PBE) results for crystalline BaNa2Hg3 at its relaxed geometry.

Geometry as POSCAR:
```
BaNa2Hg3
1.0
5.343 0.000 0.000
-2.671 4.627 0.000
0.000 0.000 15.040
Ba Na Hg
2 4 6
Direct
0.000 0.000 0.250
0.000 0.000 0.750
0.333 0.667 0.072
0.333 0.667 0.428
0.667 0.333 0.572
0.667 0.333 0.928
0.000 0.000 0.000
0.000 0.000 0.500
0.333 0.667 0.636
0.333 0.667 0.864
0.667 0.333 0.136
0.667 0.333 0.364
```

## Properties
DFT formation energy	-1.969	eV per formula unit
SG	P6_3/mmc


2.
DFT (PBE) results for crystalline BaNa10Hg2 at its relaxed geometry.

Geometry as POSCAR:
```
BaNa10Hg2
1.0
0.000 8.156 8.479
3.269 0.000 8.479
3.269 8.156 0.000
Ba Na Hg
1 10 2
Direct
0.000 0.000 0.000
0.000 0.500 0.000
0.019 0.651 0.349
0.287 0.512 0.488
0.349 0.981 0.019
0.488 0.713 0.287
0.500 0.000 0.500
0.512 0.287 0.713
0.651 0.019 0.981
0.713 0.488 0.512
0.981 0.349 0.651
0.000 0.000 0.500
0.500 0.500 0.000
```

## Properties
DFT formation energy	-1.045	eV per formula unit
SG	Fmmm


3.
DFT (PBE) results for crystalline Ba2Na3Hg at its relaxed geometry.

Geometry as POSCAR:
```
Ba2Na3Hg
1.0
4.426 0.000 0.000
0.000 5.616 0.000
0.000 0.000 10.167
Ba Na Hg
2 3 1
Direct
0.000 0.000 0.000
0.000 0.500 0.415
0.500 0.000 0.609
0.500 0.500 0.120
0.500 0.500 0.784
0.500 0.000 0.285
```

## Properties
DFT formation energy	-0.807	eV per formula unit
SG	Pmm2


4.
DFT (PBE) results for crystalline BaNaHg4 at its relaxed geometry.

Geometry as POSCAR:
```
BaNaHg4
1.0
-2.765 3.843 4.311
2.765 -3.843 4.311
2.765 3.843 -4.311
Ba Na Hg
1 1 4
Direct
0.000 0.000 0.000
0.500 0.000 0.500
0.048 0.326 0.722
0.396 0.674 0.722
0.604 0.326 0.278
0.952 0.674 0.278
```

## Properties
DFT formation energy	-2.107	eV per formula unit
energy above the lowest structure with this stoichiometry	0.0	meV per atom
SG	Immm


5.
DFT (PBE) results for crystalline Ba5Na2Hg at its relaxed geometry.

Geometry as POSCAR:
```
Ba5Na2Hg
1.0
8.321 0.000 0.000
0.000 15.479 0.000
0.000 0.000 6.182
Ba Na Hg
10 4 2
Direct
0.000 0.000 0.000
0.121 0.287 0.000
0.163 0.592 0.500
0.337 0.092 0.500
0.379 0.787 0.000
0.500 0.500 0.000
0.621 0.213 0.000
0.663 0.908 0.500
0.837 0.408 0.500
0.879 0.713 0.000
0.127 0.852 0.500
0.373 0.352 0.500
0.627 0.648 0.500
0.873 0.148 0.500
0.000 0.500 0.000
0.500 0.000 0.000
```

## Properties
DFT formation energy	-0.921	eV per formula unit
SG	Pbam


6.
DFT (PBE) results for crystalline BaNa12Hg6 at its relaxed geometry.

Geometry as POSCAR:
```
BaNa12Hg6
1.0
6.893 3.979 3.760
-6.893 3.979 3.760
0.000 -7.959 3.760
Ba Na Hg
1 12 6
Direct
0.000 0.000 0.000
0.114 0.500 0.886
0.114 0.886 0.500
0.175 0.444 0.444
0.444 0.175 0.444
0.444 0.444 0.175
0.500 0.114 0.886
0.500 0.886 0.114
0.556 0.556 0.825
0.556 0.825 0.556
0.825 0.556 0.556
0.886 0.114 0.500
0.886 0.500 0.114
0.240 0.240 0.727
0.240 0.727 0.240
0.273 0.760 0.760
0.727 0.240 0.240
0.760 0.273 0.760
0.760 0.760 0.273
```

## Properties
DFT formation energy	-2.813	eV per formula unit
energy above the lowest structure with this stoichiometry	15.0	meV per atom
SG	R-3m


7.
DFT (PBE) results for crystalline BaNa3Hg4 at its relaxed geometry.

Geometry as POSCAR:
```
BaNa3Hg4
1.0
-3.933 3.933 3.933
3.933 -3.933 3.933
3.933 3.933 -3.933
Ba Na Hg
1 3 4
Direct
0.000 0.000 0.000
0.000 0.500 0.500
0.500 0.000 0.500
0.500 0.500 0.000
0.000 0.000 0.500
0.000 0.500 0.000
0.500 0.000 0.000
0.500 0.500 0.500
```

## Properties
DFT formation energy	-2.068	eV per formula unit
SG	Im-3m


8.
DFT (PBE) results for crystalline BaNa2Hg2 at its relaxed geometry.

Geometry as POSCAR:
```
BaNa2Hg2
1.0
4.696 0.000 0.000
0.000 4.696 0.000
0.000 0.000 7.514
Ba Na Hg
1 2 2
Direct
0.000 0.000 0.000
0.000 0.500 0.500
0.500 0.000 0.500
0.500 0.500 0.209
0.500 0.500 0.791
```

## Properties
DFT formation energy	-1.554	eV per formula unit
energy above the lowest structure with this stoichiometry	0.9	meV per atom
SG	P4/mmm